Arrangement A

First-principles (GGA-PBE) data for P2Se after structural relaxation, as listed in Alexandria via LeMat-Bulk.

a b c (Å): 13.278 3.326 9.901
angles (deg): 90.00 127.16 90.00
Fractional positions:
P  0.057  0.000  0.213
P  0.191  0.000  0.499
P  0.309  0.500  0.501
P  0.443  0.500  0.787
P  0.557  0.500  0.213
P  0.691  0.500  0.499
P  0.809  0.000  0.501
P  0.943  0.000  0.787
Se  0.077  0.500  0.817
Se  0.423  0.000  0.183
Se  0.577  0.000  0.817
Se  0.923  0.500  0.183

Its density is 2.686 Mg/m³.



Arrangement B

First-principles (GGA-PBE) data for P2Se after structural relaxation, as listed in Alexandria via LeMat-Bulk.

a b c (Å): 4.669 4.669 2.629
angles (deg): 90.00 90.00 120.00
Fractional positions:
P  0.333  0.667  0.000
P  0.667  0.333  0.000
Se  0.000  0.000  0.500

Its density is 4.713 Mg/m³.



Arrangement C

First-principles (GGA-PBE) data for P2Se after structural relaxation, as listed in Alexandria via LeMat-Bulk.

a b c (Å): 3.207 3.207 11.428
angles (deg): 90.00 90.00 90.00
Fractional positions:
P  0.000  0.000  0.223
P  0.000  0.000  0.777
P  0.500  0.500  0.277
P  0.500  0.500  0.723
Se  0.000  0.000  0.000
Se  0.500  0.500  0.500

Its density is 3.981 Mg/m³.



Top of the stability list: arrangement A, leading by 0.272 eV/atom.



Arrangement A

First-principles (GGA-PBE) data for P2Se after structural relaxation, as listed in Alexandria via LeMat-Bulk.

a b c (Å): 6.348 3.640 10.791
angles (deg): 90.00 97.57 90.00
Fractional positions:
P  0.048  0.000  0.190
P  0.149  0.500  0.066
P  0.351  0.000  0.934
P  0.452  0.500  0.810
P  0.548  0.500  0.190
P  0.649  0.000  0.066
P  0.851  0.500  0.934
P  0.952  0.000  0.810
Se  0.148  0.500  0.675
Se  0.352  0.000  0.325
Se  0.648  0.000  0.675
Se  0.852  0.500  0.325

Its density is 3.786 Mg/m³.



Arrangement B

First-principles (GGA-PBE) data for P2Se after structural relaxation, as listed in Alexandria via LeMat-Bulk.

a b c (Å): 3.762 3.762 15.238
angles (deg): 90.00 90.00 90.00
Fractional positions:
P  0.000  0.250  0.299
P  0.000  0.250  0.451
P  0.000  0.750  0.549
P  0.000  0.750  0.701
P  0.500  0.250  0.049
P  0.500  0.250  0.201
P  0.500  0.750  0.799
P  0.500  0.750  0.951
Se  0.000  0.250  0.875
Se  0.000  0.750  0.125
Se  0.500  0.250  0.625
Se  0.500  0.750  0.375

Its density is 4.339 Mg/m³.



Arrangement C

First-principles (GGA-PBE) data for P2Se after structural relaxation, as listed in Alexandria via LeMat-Bulk.

a b c (Å): 4.746 5.388 10.989
angles (deg): 90.00 90.00 90.00
Fractional positions:
P  0.163  0.250  0.238
P  0.216  0.250  0.040
P  0.284  0.750  0.540
P  0.337  0.750  0.738
P  0.663  0.250  0.262
P  0.716  0.250  0.460
P  0.784  0.750  0.960
P  0.837  0.750  0.762
Se  0.223  0.750  0.046
Se  0.277  0.250  0.546
Se  0.723  0.750  0.454
Se  0.777  0.250  0.954

Its density is 3.330 Mg/m³.



Arrangement D

First-principles (GGA-PBE) data for P2Se after structural relaxation, as listed in Alexandria via LeMat-Bulk.

a b c (Å): 11.293 3.205 8.464
angles (deg): 90.00 102.92 90.00
Fractional positions:
P  0.221  0.000  0.419
P  0.235  0.000  0.904
P  0.265  0.500  0.096
P  0.279  0.500  0.581
P  0.721  0.500  0.419
P  0.735  0.500  0.904
P  0.765  0.000  0.096
P  0.779  0.000  0.581
Se  0.033  0.000  0.827
Se  0.467  0.500  0.173
Se  0.533  0.500  0.827
Se  0.967  0.000  0.173

Its density is 3.134 Mg/m³.



Top of the stability list: arrangement A, leading by 0.124 eV/atom.



Arrangement A

First-principles (GGA-PBE) data for P3Se after structural relaxation, as listed in Alexandria via LeMat-Bulk.

a b c (Å): 3.294 4.092 7.949
angles (deg): 80.28 78.19 69.03
Fractional positions:
P  0.000  0.000  0.000
P  0.252  0.706  0.759
P  0.682  0.008  0.632
Se  0.530  0.738  0.176

Its density is 2.930 Mg/m³.



Arrangement B

First-principles (GGA-PBE) data for P3Se after structural relaxation, as listed in Alexandria via LeMat-Bulk.

a b c (Å): 3.473 5.220 5.709
angles (deg): 93.69 103.62 102.23
Fractional positions:
P  0.000  0.000  0.000
P  0.126  0.672  0.755
P  0.625  0.897  0.615
Se  0.520  0.357  0.029

Its density is 2.925 Mg/m³.



Arrangement C

First-principles (GGA-PBE) data for P3Se after structural relaxation, as listed in Alexandria via LeMat-Bulk.

a b c (Å): 9.532 3.108 7.222
angles (deg): 90.00 125.98 90.00
Fractional positions:
P  0.000  0.000  0.000
P  0.133  0.500  0.922
P  0.367  0.000  0.078
P  0.500  0.500  0.000
P  0.633  0.000  0.922
P  0.867  0.500  0.078
Se  0.000  0.500  0.500
Se  0.500  0.000  0.500

Its density is 3.297 Mg/m³.



Top of the stability list: arrangement A, leading by 0.087 eV/atom.



Arrangement A

First-principles (GGA-PBE) data for P3Se after structural relaxation, as listed in Alexandria via LeMat-Bulk.

a b c (Å): 3.139 4.455 9.790
angles (deg): 90.00 90.00 90.00
Fractional positions:
P  0.000  0.000  0.000
P  0.000  0.500  0.190
P  0.000  0.500  0.810
P  0.500  0.000  0.190
P  0.500  0.000  0.810
P  0.500  0.500  0.000
Se  0.000  0.000  0.500
Se  0.500  0.500  0.500

Its density is 4.169 Mg/m³.



Arrangement B

First-principles (GGA-PBE) data for P3Se after structural relaxation, as listed in Alexandria via LeMat-Bulk.

a b c (Å): 3.557 3.557 5.493
angles (deg): 90.00 90.00 90.00
Fractional positions:
P  0.000  0.000  0.000
P  0.500  0.500  0.197
P  0.500  0.500  0.803
Se  0.000  0.000  0.500

Its density is 4.108 Mg/m³.



Top of the stability list: arrangement A, leading by 0.058 eV/atom.



Arrangement A

First-principles (GGA-PBE) data for P4Se3 after structural relaxation, as listed in Alexandria via LeMat-Bulk.

a b c (Å): 12.162 10.570 14.840
angles (deg): 90.00 90.00 90.00
Fractional positions:
P  0.025  0.250  0.033
P  0.038  0.750  0.496
P  0.075  0.644  0.761
P  0.075  0.856  0.761
P  0.104  0.750  0.268
P  0.210  0.750  0.832
P  0.234  0.644  0.344
P  0.234  0.856  0.344
P  0.266  0.144  0.844
P  0.266  0.356  0.844
P  0.290  0.250  0.332
P  0.396  0.250  0.768
P  0.425  0.144  0.261
P  0.425  0.356  0.261
P  0.462  0.250  0.996
P  0.475  0.750  0.533
P  0.525  0.250  0.467
P  0.538  0.750  0.004
P  0.575  0.644  0.739
P  0.575  0.856  0.739
P  0.604  0.750  0.232
P  0.710  0.750  0.668
P  0.734  0.644  0.156
P  0.734  0.856  0.156
P  0.766  0.144  0.656
P  0.766  0.356  0.656
P  0.790  0.250  0.168
P  0.896  0.250  0.732
P  0.925  0.144  0.239
P  0.925  0.356  0.239
P  0.962  0.250  0.504
P  0.975  0.750  0.967
Se  0.046  0.086  0.131
Se  0.046  0.250  0.641
Se  0.046  0.414  0.131
Se  0.156  0.586  0.476
Se  0.156  0.914  0.476
Se  0.162  0.750  0.979
Se  0.338  0.250  0.479
Se  0.344  0.086  0.976
Se  0.344  0.414  0.976
Se  0.454  0.586  0.631
Se  0.454  0.750  0.141
Se  0.454  0.914  0.631
Se  0.546  0.086  0.369
Se  0.546  0.250  0.859
Se  0.546  0.414  0.369
Se  0.656  0.586  0.024
Se  0.656  0.914  0.024
Se  0.662  0.750  0.521
Se  0.838  0.250  0.021
Se  0.844  0.086  0.524
Se  0.844  0.414  0.524
Se  0.954  0.586  0.869
Se  0.954  0.750  0.359
Se  0.954  0.914  0.869

Its density is 2.512 Mg/m³.



Arrangement B

First-principles (GGA-PBE) data for P4Se3 after structural relaxation, as listed in Alexandria via LeMat-Bulk.

a b c (Å): 6.659 6.659 3.904
angles (deg): 90.00 90.00 120.00
Fractional positions:
P  0.000  0.000  0.244
P  0.000  0.000  0.756
P  0.333  0.667  0.000
P  0.667  0.333  0.000
Se  0.000  0.500  0.500
Se  0.500  0.000  0.500
Se  0.500  0.500  0.500

Its density is 3.996 Mg/m³.



Top of the stability list: arrangement A, leading by 0.847 eV/atom.



Arrangement A

First-principles (GGA-PBE) data for P4Se after structural relaxation, as listed in Alexandria via LeMat-Bulk.

a b c (Å): 5.813 5.813 5.813
angles (deg): 90.00 90.00 90.00
Fractional positions:
P  0.250  0.250  0.250
P  0.250  0.250  0.750
P  0.250  0.750  0.250
P  0.250  0.750  0.750
P  0.750  0.250  0.250
P  0.750  0.250  0.750
P  0.750  0.750  0.250
P  0.750  0.750  0.750
Se  0.000  0.000  0.000
Se  0.500  0.500  0.500

Its density is 3.430 Mg/m³.



Arrangement B

First-principles (GGA-PBE) data for P4Se after structural relaxation, as listed in Alexandria via LeMat-Bulk.

a b c (Å): 4.731 4.731 4.731
angles (deg): 90.00 90.00 90.00
Fractional positions:
P  0.000  0.000  0.000
P  0.000  0.500  0.500
P  0.500  0.000  0.500
P  0.500  0.500  0.000
Se  0.500  0.500  0.500

Its density is 3.181 Mg/m³.



Top of the stability list: arrangement A, leading by 0.468 eV/atom.



Arrangement A

First-principles (GGA-PBE) data for P5Se after structural relaxation, as listed in Alexandria via LeMat-Bulk.

a b c (Å): 5.399 5.399 5.399
angles (deg): 60.00 60.00 60.00
Fractional positions:
P  0.000  0.000  0.000
P  0.185  0.605  0.605
P  0.605  0.185  0.605
P  0.605  0.605  0.185
P  0.605  0.605  0.605
Se  0.250  0.250  0.250

Its density is 3.488 Mg/m³.



Arrangement B

First-principles (GGA-PBE) data for P5Se after structural relaxation, as listed in Alexandria via LeMat-Bulk.

a b c (Å): 4.424 4.272 13.464
angles (deg): 90.00 90.00 90.00
Fractional positions:
P  0.000  0.000  0.000
P  0.000  0.000  0.161
P  0.000  0.000  0.725
P  0.000  0.500  0.225
P  0.000  0.500  0.500
P  0.000  0.500  0.661
P  0.500  0.000  0.225
P  0.500  0.000  0.667
P  0.500  0.500  0.167
P  0.500  0.500  0.725
Se  0.500  0.000  0.498
Se  0.500  0.500  0.998

Its density is 3.051 Mg/m³.



Top of the stability list: arrangement B, leading by 0.565 eV/atom.



Arrangement A

First-principles (GGA-PBE) data for P5Se after structural relaxation, as listed in Alexandria via LeMat-Bulk.

a b c (Å): 10.691 3.212 8.967
angles (deg): 90.00 90.76 90.00
Fractional positions:
P  0.000  0.000  0.000
P  0.015  0.500  0.174
P  0.058  0.000  0.525
P  0.220  0.500  0.206
P  0.472  0.000  0.639
P  0.500  0.500  0.000
P  0.515  0.000  0.174
P  0.558  0.500  0.525
P  0.720  0.000  0.206
P  0.972  0.500  0.639
Se  0.284  0.500  0.964
Se  0.784  0.000  0.964

Its density is 2.522 Mg/m³.



Arrangement B

First-principles (GGA-PBE) data for P5Se after structural relaxation, as listed in Alexandria via LeMat-Bulk.

a b c (Å): 2.861 2.861 14.017
angles (deg): 90.00 90.00 90.00
Fractional positions:
P  0.000  0.000  0.000
P  0.000  0.000  0.260
P  0.000  0.000  0.740
P  0.500  0.500  0.176
P  0.500  0.500  0.824
Se  0.500  0.500  0.500

Its density is 3.383 Mg/m³.



Top of the stability list: arrangement A, leading by 0.445 eV/atom.



Arrangement A

First-principles (GGA-PBE) data for Si2PSe after structural relaxation, as listed in Alexandria via LeMat-Bulk.

a b c (Å): 3.573 3.763 10.351
angles (deg): 90.00 90.00 90.00
Fractional positions:
Si  0.000  0.000  0.239
Si  0.000  0.000  0.761
Si  0.500  0.500  0.261
Si  0.500  0.500  0.739
P  0.000  0.000  0.000
P  0.500  0.500  0.500
Se  0.000  0.000  0.500
Se  0.500  0.500  0.000

Its density is 3.963 Mg/m³.



Arrangement B

First-principles (GGA-PBE) data for Si2PSe after structural relaxation, as listed in Alexandria via LeMat-Bulk.

a b c (Å): 6.333 6.333 7.964
angles (deg): 90.00 90.00 90.00
Fractional positions:
Si  0.221  0.250  0.125
Si  0.250  0.721  0.375
Si  0.250  0.779  0.875
Si  0.279  0.250  0.625
Si  0.721  0.750  0.625
Si  0.750  0.221  0.875
Si  0.750  0.279  0.375
Si  0.779  0.750  0.125
P  0.000  0.000  0.000
P  0.000  0.500  0.250
P  0.500  0.000  0.750
P  0.500  0.500  0.500
Se  0.000  0.000  0.500
Se  0.000  0.500  0.750
Se  0.500  0.000  0.250
Se  0.500  0.500  0.000

Its density is 3.454 Mg/m³.



Top of the stability list: arrangement B, leading by 0.032 eV/atom.



Arrangement A

First-principles (GGA-PBE) data for Si2PSe after structural relaxation, as listed in Alexandria via LeMat-Bulk.

a b c (Å): 3.183 4.314 9.879
angles (deg): 90.00 90.00 90.00
Fractional positions:
Si  0.000  0.000  0.203
Si  0.000  0.000  0.797
Si  0.500  0.500  0.297
Si  0.500  0.500  0.703
P  0.000  0.500  0.500
P  0.500  0.000  0.000
Se  0.000  0.500  0.000
Se  0.500  0.000  0.500

Its density is 4.066 Mg/m³.



Arrangement B

First-principles (GGA-PBE) data for Si2PSe after structural relaxation, as listed in Alexandria via LeMat-Bulk.

a b c (Å): 3.014 3.014 29.258
angles (deg): 90.00 90.00 120.00
Fractional positions:
Si  0.000  0.000  0.226
Si  0.000  0.000  0.774
Si  0.333  0.667  0.441
Si  0.333  0.667  0.892
Si  0.667  0.333  0.108
Si  0.667  0.333  0.559
P  0.000  0.000  0.500
P  0.333  0.667  0.167
P  0.667  0.333  0.833
Se  0.000  0.000  0.000
Se  0.333  0.667  0.667
Se  0.667  0.333  0.333

Its density is 3.596 Mg/m³.



Top of the stability list: arrangement A, leading by 0.097 eV/atom.